Tm7Al5Ga: relaxed, GGA-PBE.

Computed properties:
The formation energy is -0.214 eV/atom. The value obtained for the spin magnetization is 0.0 μB per formula unit. As for the space group: Imm2, No. 44.

a b c (Å): 6.0778 7.8000 7.8000
angles (deg): 78.79 67.07 67.07
Closest atoms and distances in Å follow each position.
Element x y z (fractional)
Tm1 0.6041 0.3959 0.3959  4 Al 3.28, 1 Ga 3.32, 8 Tm 3.39-3.67
Tm2 0.2249 0.7751 0.7751  6 Al 3.06-3.10, 1 Ga 3.14
Tm3 0.0213 0.2910 0.6665  5 Al 3.02-3.13, 3 Tm 3.25-3.37, 1 Ga 3.26
Tm4 0.0213 0.6665 0.2910  5 Al 3.02-3.13, 3 Tm 3.25-3.37, 1 Ga 3.26
Tm5 0.2773 0.2227 0.2227  4 Al 2.93, 4 Tm 3.11-3.25
Tm6 0.5308 0.8028 0.1357  5 Al 2.99-3.27, 2 Tm 3.11-3.30
Tm7 0.5308 0.1357 0.8028  5 Al 2.99-3.27, 2 Tm 3.11-3.30
Al1 0.5438 0.9845 0.4735  2 Al 2.76-2.88, 4 Tm 2.93-3.06
Al2 0.9982 0.9845 0.4735  2 Al 2.76-2.88, 4 Tm 2.93-3.06
Al3 0.5438 0.4735 0.9845  2 Al 2.76-2.88, 4 Tm 2.93-3.06
Al4 0.9982 0.4735 0.9845  2 Al 2.76-2.88, 4 Tm 2.93-3.06
Al5 0.7825 0.7175 0.7175  4 Al 2.88, 6 Tm 3.10
Ga1 0.9232 0.0768 0.0768  6 Tm 3.14-3.40, 4 Al 3.21

***

TmAl6Ga: relaxed, GGA-PBE.

Computed properties:
The formation energy is 0.086 eV/atom. The value obtained for the spin magnetization is 0.0 μB per formula unit. As for the space group: C2/m, No. 12.

a b c (Å): 5.6935 5.6935 5.5606
angles (deg): 89.82 89.82 94.69
Closest atoms and distances in Å follow each position.
Element x y z (fractional)
Tm1 0.5000 0.5000 0.5000  12 Al 3.04-3.18
Al1 0.0111 0.5293 0.2638  3 Al 2.64-2.65
Al2 0.5293 0.0111 0.2638  3 Al 2.64-2.65
Al3 0.4707 0.9889 0.7362  3 Al 2.64-2.65
Al4 0.9889 0.4707 0.7362  3 Al 2.64-2.65
Al5 0.3353 0.3353 0.0037  5 Al 2.54-2.65, 1 Ga 2.59
Al6 0.6647 0.6647 0.9963  5 Al 2.54-2.65, 1 Ga 2.59
Ga1 0.0000 0.0000 0.0000  2 Al 2.59

***

TmAlGa: relaxed, GGA-PBE.

Computed properties:
The formation energy is -0.304 eV/atom. The value obtained for the spin magnetization is 0.0 μB per formula unit. As for the space group: I4mm, No. 107.

a b c (Å): 3.3279 3.3279 6.0017
angles (deg): 106.10 106.10 90.00
Closest atoms and distances in Å follow each position.
Element x y z (fractional)
Tm1 0.9984 0.9984 0.9968  4 Ga 3.10, 5 Al 3.14-3.45, 4 Tm 3.33
Al1 0.6862 0.6862 0.3723  4 Ga 2.75
Ga1 0.3154 0.3154 0.6309  4 Al 2.75

***

Tm2AlGa6: relaxed, GGA-PBE.

Computed properties:
The formation energy is -0.254 eV/atom. The value obtained for the spin magnetization is 0.0 μB per formula unit. As for the space group: C2/m, No. 12.

a b c (Å): 3.3059 7.2337 8.5070
angles (deg): 115.16 90.07 90.00
Closest atoms and distances in Å follow each position.
Element x y z (fractional)
Tm1 0.5000 0.7002 0.4004  8 Ga 2.95-3.17, 2 Tm 3.31
Tm2 0.5000 0.2998 0.5996  8 Ga 2.95-3.17, 2 Tm 3.31
Al1 0.0000 0.0000 0.0000  8 Ga 2.61-2.80
Ga1 0.9995 0.3278 0.2925  1 Al 2.61, 1 Ga 2.63
Ga2 0.0005 0.0353 0.7075  1 Al 2.61, 1 Ga 2.63
Ga3 0.0005 0.6722 0.7075  1 Al 2.61, 1 Ga 2.63
Ga4 0.5000 0.3129 0.0000  5 Ga 2.71-2.95, 2 Al 2.80
Ga5 0.9995 0.9647 0.2925  1 Al 2.61, 1 Ga 2.63
Ga6 0.5000 0.6871 0.0000  5 Ga 2.71-2.95, 2 Al 2.80

***

TmAlGa: relaxed, GGA-PBE.

Computed properties:
The formation energy is -0.550 eV/atom. The value obtained for the spin magnetization is 0.0 μB per formula unit. As for the space group: P-6m2, No. 187.

a b c (Å): 4.4750 4.4750 3.4198
angles (deg): 90.00 90.00 120.00
Closest atoms and distances in Å follow each position.
Element x y z (fractional)
Tm1 0.6667 0.3333 0.0000  6 Al 3.10, 6 Ga 3.10, 2 Tm 3.42
Al1 0.0000 0.0000 0.5000  3 Ga 2.58
Ga1 0.3333 0.6667 0.5000  3 Al 2.58

***

Tm4Al3Ga: relaxed, GGA-PBE.

Computed properties:
The formation energy is -0.430 eV/atom. The value obtained for the spin magnetization is 0.0 μB per formula unit. As for the space group: P4/mmm, No. 123.

a b c (Å): 3.5325 3.5325 14.2743
angles (deg): 90.00 90.00 90.00
Closest atoms and distances in Å follow each position.
Element x y z (fractional)
Tm1 0.0000 0.0000 0.8763  4 Ga 3.06, 4 Al 3.08
Tm2 0.0000 0.0000 0.1237  4 Ga 3.06, 4 Al 3.08
Tm3 0.0000 0.0000 0.3752  8 Al 3.07
Tm4 0.0000 0.0000 0.6248  8 Al 3.07
Al1 0.5000 0.5000 0.2500  8 Tm 3.07-3.08
Al2 0.5000 0.5000 0.5000  8 Tm 3.07
Al3 0.5000 0.5000 0.7500  8 Tm 3.07-3.08
Ga1 0.5000 0.5000 0.0000  8 Tm 3.06

***

Tm4Al2Ga: relaxed, GGA-PBE.

Computed properties:
The formation energy is -0.312 eV/atom. The value obtained for the spin magnetization is 0.0 μB per formula unit. As for the space group: P2_1/m, No. 11.

a b c (Å): 5.3639 6.3239 10.6914
angles (deg): 90.00 110.29 90.00
Closest atoms and distances in Å follow each position.
Element x y z (fractional)
Tm1 0.5832 0.5063 0.2641  1 Ga 3.03, 3 Tm 3.08-3.36, 2 Al 3.15-3.20
Tm2 0.0252 0.7500 0.8822  3 Al 2.91-3.08, 3 Ga 2.98-3.21
Tm3 0.9748 0.2500 0.1178  3 Al 2.91-3.08, 3 Ga 2.98-3.21
Tm4 0.5832 0.9937 0.2641  1 Ga 3.03, 3 Tm 3.08-3.36, 2 Al 3.15-3.20
Tm5 0.7963 0.2500 0.5576  1 Ga 2.77, 2 Al 2.99-3.00
Tm6 0.4168 0.0063 0.7359  1 Ga 3.03, 3 Tm 3.08-3.36, 2 Al 3.15-3.20
Tm7 0.4168 0.4937 0.7359  1 Ga 3.03, 3 Tm 3.08-3.36, 2 Al 3.15-3.20
Tm8 0.2037 0.7500 0.4424  1 Ga 2.77, 2 Al 2.99-3.00
Al1 0.6017 0.7500 0.0050  1 Ga 2.49
Al2 0.3983 0.2500 0.9950  1 Ga 2.49
Al3 0.2032 0.2500 0.4251  5 Tm 2.99-3.17
Al4 0.7968 0.7500 0.5749  5 Tm 2.99-3.17
Ga1 0.0641 0.7500 0.1671  1 Al 2.49, 1 Tm 2.77
Ga2 0.9359 0.2500 0.8329  1 Al 2.49, 1 Tm 2.77

***

Tm3Al2Ga7: relaxed, GGA-PBE.

Computed properties:
The formation energy is -0.424 eV/atom. The value obtained for the spin magnetization is 0.0 μB per formula unit. As for the space group: Cmmm, No. 65.

a b c (Å): 4.1021 4.1865 13.8482
angles (deg): 98.69 90.00 90.00
Closest atoms and distances in Å follow each position.
Element x y z (fractional)
Tm1 0.5000 0.5000 0.0000  12 Ga 2.93-3.06
Tm2 0.5000 0.6816 0.3633  4 Al 3.14, 10 Ga 3.20-3.45
Tm3 0.5000 0.3184 0.6367  4 Al 3.14, 10 Ga 3.20-3.45
Al1 0.0000 0.8600 0.7200  5 Ga 2.41-2.61
Al2 0.0000 0.1400 0.2800  5 Ga 2.41-2.61
Ga1 0.0000 0.4172 0.8344  2 Al 2.61
Ga2 0.0000 0.7718 0.5437  2 Ga 2.41, 1 Al 2.41
Ga3 0.0000 0.0000 0.0000  4 Tm 2.93, 8 Ga 3.03-3.09
Ga4 0.0000 0.5828 0.1656  2 Al 2.61
Ga5 0.5000 0.0815 0.1631  2 Al 2.60
Ga6 0.5000 0.9185 0.8369  2 Al 2.60
Ga7 0.0000 0.2282 0.4563  2 Ga 2.41, 1 Al 2.41

***

Tm3Al4Ga2: relaxed, GGA-PBE.

Computed properties:
The formation energy is -0.517 eV/atom. The value obtained for the spin magnetization is 0.0 μB per formula unit. As for the space group: C2/m, No. 12.

a b c (Å): 4.4825 5.6599 8.4919
angles (deg): 112.23 90.00 113.33
Closest atoms and distances in Å follow each position.
Element x y z (fractional)
Tm1 0.6705 0.3410 0.6623  4 Ga 3.07-3.16, 8 Al 3.08-3.21
Tm2 0.0000 0.0000 0.0000  8 Al 3.04-3.16, 4 Ga 3.11
Tm3 0.3295 0.6590 0.3377  4 Ga 3.07-3.16, 8 Al 3.08-3.21
Al1 0.7301 0.4603 0.0643  1 Ga 2.59, 2 Al 2.60
Al2 0.2699 0.5397 0.9357  1 Ga 2.59, 2 Al 2.60
Al3 0.9568 0.9136 0.6231  2 Ga 2.59, 1 Al 2.59
Al4 0.0432 0.0864 0.3769  2 Ga 2.59, 1 Al 2.59
Ga1 0.6095 0.2190 0.2770  3 Al 2.59
Ga2 0.3905 0.7810 0.7230  3 Al 2.59

***

Tm2AlGa: relaxed, GGA-PBE.

Computed properties:
The formation energy is -0.473 eV/atom. The value obtained for the spin magnetization is 0.0 μB per formula unit. As for the space group: P4/mmm, No. 123.

a b c (Å): 3.5201 3.5201 7.1564
angles (deg): 90.00 90.00 90.00
Closest atoms and distances in Å follow each position.
Element x y z (fractional)
Tm1 0.0000 0.0000 0.7530  4 Ga 3.05, 4 Al 3.08
Tm2 0.0000 0.0000 0.2470  4 Ga 3.05, 4 Al 3.08
Al1 0.5000 0.5000 0.5000  8 Tm 3.08
Ga1 0.5000 0.5000 0.0000  8 Tm 3.05